# TlCdOs2

Crystalline TlCdOs2 at its relaxed geometry (PBE, Alexandria via LeMat-Bulk).

Lattice parameters (Å, degrees): 4.267 4.267 7.780 103.35 103.35 39.10
Element x y z (fractional)
Tl 0.000 0.000 0.000
Cd 0.270 0.270 0.665
Os 0.514 0.514 0.409
Os 0.752 0.752 0.280

Output
- Volume: 21.65 A^3/atom
- Energy of formation from the pure elements: 0.679 eV/atom
- Density of states at the Fermi level: 2.88 states/eV per cell
- Symmetry: No. 8
- Magnetization: 0.00 μB/f.u.